Entry 1:
First-principles (GGA-PBE) data for a relaxed PaSn3Pd6 crystal, as listed in Alexandria via LeMat-Bulk.

a b c (Å): 3.760 9.391 11.394
angles (deg): 102.04 90.00 90.00
Sites, in units of the cell vectors:
Pd (0.750, 0.095, 0.468)
Pd (0.750, 0.428, 0.586)
Pd (0.250, 0.309, 0.203)
Pd (0.250, 0.572, 0.414)
Pd (0.250, 0.905, 0.532)
Pd (0.250, 0.585, 0.948)
Pd (0.250, 0.217, 0.665)
Pd (0.250, 0.184, 0.908)
Pd (0.750, 0.816, 0.092)
Pd (0.750, 0.415, 0.052)
Pd (0.750, 0.783, 0.335)
Pd (0.750, 0.691, 0.797)
Sn (0.250, 0.298, 0.434)
Sn (0.250, 0.604, 0.184)
Sn (0.750, 0.702, 0.566)
Sn (0.250, 0.869, 0.917)
Sn (0.750, 0.131, 0.083)
Sn (0.750, 0.396, 0.816)
Pa (0.750, 0.018, 0.729)
Pa (0.250, 0.982, 0.271)

- Density of states at the Fermi level: 5.6 states/eV/f.u.
- VASP energy: -5.745 eV/atom
- Space group: No. 11
- Calculated volume: 393.5 Å³ per cell
- Energy of formation: -462.2 kJ/mol of formula units

=====

Entry 2:
First-principles (GGA-PBE) data for a relaxed PaSnPd3 crystal, as listed in Alexandria via LeMat-Bulk.

a b c (Å): 3.859 6.746 7.673
angles (deg): 90.00 90.00 90.00
Sites, in units of the cell vectors:
Pd (0.750, 0.546, 0.765)
Pd (0.750, 0.750, 0.275)
Pd (0.250, 0.454, 0.235)
Pd (0.250, 0.046, 0.235)
Pd (0.250, 0.250, 0.725)
Pd (0.750, 0.954, 0.765)
Pa (0.250, 0.750, 0.537)
Pa (0.750, 0.250, 0.463)
Sn (0.750, 0.250, 0.027)
Sn (0.250, 0.750, 0.973)

- Density of states at the Fermi level: 4.1 states/eV/f.u.
- VASP energy: -6.349 eV/atom
- Space group: No. 59
- Calculated volume: 199.7 Å³ per cell
- Energy of formation: -257.5 kJ/mol of formula units

=====

Entry 3:
First-principles (GGA-PBE) data for a relaxed PaSnPd2 crystal, as listed in Alexandria via LeMat-Bulk.

a b c (Å): 3.559 4.802 4.802
angles (deg): 90.00 90.00 90.00
Sites, in units of the cell vectors:
Pd (0.000, 0.500, 0.000)
Pd (0.000, 0.000, 0.500)
Sn (0.500, 0.500, 0.500)
Pa (0.500, 0.000, 0.000)

- Density of states at the Fermi level: 5.3 states/eV/f.u.
- VASP energy: -6.356 eV/atom
- Space group: No. 123
- Energy relative to the lowest polymorph listed for this composition: 0.234 eV per atom
- Calculated volume: 82.1 Å³ per cell
- Energy of formation: -148.5 kJ/mol of formula units

=====

Entry 4:
First-principles (GGA-PBE) data for a relaxed PaTiSnPd crystal, as listed in Alexandria via LeMat-Bulk.

a b c (Å): 4.846 4.846 4.846
angles (deg): 60.00 60.00 60.00
Sites, in units of the cell vectors:
Sn (0.500, 0.500, 0.500)
Pa (0.000, 0.000, 0.000)
Ti (0.250, 0.250, 0.250)
Pd (0.750, 0.750, 0.750)

- Density of states at the Fermi level: 5.1 states/eV/f.u.
- VASP energy: -6.856 eV/atom
- Space group: No. 216
- Calculated volume: 80.5 Å³ per cell
- Energy of formation: -80.9 kJ/mol of formula units

=====

Entry 5:
First-principles (GGA-PBE) data for a relaxed UPaSnPd crystal, as listed in Alexandria via LeMat-Bulk.

a b c (Å): 5.028 5.028 5.028
angles (deg): 60.00 60.00 60.00
Sites, in units of the cell vectors:
Sn (0.500, 0.500, 0.500)
U (0.750, 0.750, 0.750)
Pa (0.000, 0.000, 0.000)
Pd (0.250, 0.250, 0.250)

- Density of states at the Fermi level: 8.7 states/eV/f.u.
- VASP energy: -7.437 eV/atom
- Space group: No. 216
- Calculated volume: 89.9 Å³ per cell
- Energy of formation: 22.4 kJ/mol of formula units

=====

Entry 6:
First-principles (GGA-PBE) data for a relaxed PaZnSnPd crystal, as listed in Alexandria via LeMat-Bulk.

a b c (Å): 4.861 4.861 4.861
angles (deg): 60.00 60.00 60.00
Sites, in units of the cell vectors:
Pd (0.250, 0.250, 0.250)
Pa (0.500, 0.500, 0.500)
Zn (0.750, 0.750, 0.750)
Sn (0.000, 0.000, 0.000)

- Density of states at the Fermi level: 4.7 states/eV/f.u.
- VASP energy: -5.354 eV/atom
- Space group: No. 216
- Calculated volume: 81.2 Å³ per cell
- Energy of formation: -139.8 kJ/mol of formula units

=====

Entry 7:
First-principles (GGA-PBE) data for a relaxed SrPaPd crystal, as listed in Alexandria via LeMat-Bulk.

a b c (Å): 4.319 4.319 9.213
angles (deg): 90.00 90.00 90.00
Sites, in units of the cell vectors:
Pd (0.500, 0.000, 0.729)
Pd (0.000, 0.500, 0.271)
Pa (0.500, 0.500, 0.500)
Pa (0.000, 0.000, 0.500)
Sr (0.500, 0.000, 0.146)
Sr (0.000, 0.500, 0.854)

- Density of states at the Fermi level: 5.2 states/eV/f.u.
- VASP energy: -5.651 eV/atom
- Space group: No. 129
- Calculated volume: 171.9 Å³ per cell
- Energy of formation: -56.2 kJ/mol of formula units

=====

Entry 8:
First-principles (GGA-PBE) data for a relaxed SrPaTe3Pd crystal, as listed in Alexandria via LeMat-Bulk.

a b c (Å): 4.325 8.360 10.728
angles (deg): 108.10 90.00 90.00
Sites, in units of the cell vectors:
Sr (0.750, 0.761, 0.693)
Sr (0.250, 0.239, 0.307)
Te (0.250, 0.060, 0.852)
Te (0.250, 0.732, 0.457)
Te (0.750, 0.412, 0.138)
Te (0.250, 0.588, 0.862)
Te (0.750, 0.940, 0.148)
Te (0.750, 0.268, 0.543)
Pa (0.250, 0.692, 0.172)
Pa (0.750, 0.308, 0.828)
Pd (0.250, 0.091, 0.608)
Pd (0.750, 0.909, 0.392)

- Density of states at the Fermi level: 5.4 states/eV/f.u.
- VASP energy: -5.325 eV/atom
- Space group: No. 11
- Calculated volume: 368.7 Å³ per cell
- Uncorrected formation energy: -1026 meV/atom

=====

Entry 9:
First-principles (GGA-PBE) data for a relaxed Sr2PaZnPd6 crystal, as listed in Alexandria via LeMat-Bulk.

a b c (Å): 7.037 6.630 6.662
angles (deg): 64.14 57.86 89.95
Sites, in units of the cell vectors:
Pd (0.160, 0.368, 0.519)
Pd (0.680, 0.159, 0.951)
Pd (0.320, 0.841, 0.049)
Pd (0.368, 0.322, 0.791)
Pd (0.632, 0.678, 0.209)
Pd (0.840, 0.632, 0.481)
Sr (0.199, 0.802, 0.604)
Sr (0.801, 0.198, 0.396)
Pa (0.500, 0.500, 0.000)
Zn (0.000, 0.000, 0.000)

- Density of states at the Fermi level: 5.7 states/eV/f.u.
- VASP energy: -5.048 eV/atom
- Space group: No. 2
- Calculated volume: 225.7 Å³ per cell
- Energy of formation: -500.3 kJ/mol of formula units

=====

Entry 10:
First-principles (GGA-PBE) data for a relaxed Pa2TaPd crystal, as listed in Alexandria via LeMat-Bulk.

a b c (Å): 3.612 3.612 6.739
angles (deg): 90.00 90.00 90.00
Sites, in units of the cell vectors:
Pa (0.000, 0.000, 0.754)
Pa (0.000, 0.000, 0.246)
Ta (0.500, 0.500, 0.500)
Pd (0.500, 0.500, 0.000)

- Density of states at the Fermi level: 6.3 states/eV/f.u.
- VASP energy: -8.993 eV/atom
- Space group: No. 123
- Energy relative to the lowest polymorph listed for this composition: 0.000 eV per atom
- Calculated volume: 87.9 Å³ per cell
- Energy of formation: 6.4 kJ/mol of formula units

=====

Entry 11:
First-principles (GGA-PBE) data for a relaxed PaTa2Pd crystal, as listed in Alexandria via LeMat-Bulk.

a b c (Å): 2.958 2.958 10.399
angles (deg): 81.82 81.82 60.00
Sites, in units of the cell vectors:
Ta (0.907, 0.907, 0.279)
Ta (0.093, 0.093, 0.721)
Pa (0.000, 0.000, 0.000)
Pd (0.500, 0.500, 0.500)

- Density of states at the Fermi level: 4.3 states/eV/f.u.
- VASP energy: -9.271 eV/atom
- Space group: No. 166
- Calculated volume: 77.7 Å³ per cell
- Energy of formation: 126.5 kJ/mol of formula units

=====

Entry 12:
First-principles (GGA-PBE) data for a relaxed PaTaPd crystal, as listed in Alexandria via LeMat-Bulk.

a b c (Å): 3.038 4.813 4.813
angles (deg): 120.00 90.00 90.00
Sites, in units of the cell vectors:
Pd (0.168, 0.000, 0.000)
Ta (0.166, 0.333, 0.667)
Pa (0.666, 0.667, 0.333)

- Density of states at the Fermi level: 5.4 states/eV/f.u.
- VASP energy: -8.744 eV/atom
- Space group: No. 187
- Energy relative to the lowest polymorph listed for this composition: 0.292 eV per atom
- Calculated volume: 60.9 Å³ per cell
- Energy of formation: 29.8 kJ/mol of formula units

=====

Entry 13:
First-principles (GGA-PBE) data for a relaxed PaTaPd6 crystal, as listed in Alexandria via LeMat-Bulk.

a b c (Å): 5.419 5.419 7.393
angles (deg): 68.50 68.50 60.00
Sites, in units of the cell vectors:
Pd (0.072, 0.072, 0.295)
Pd (0.928, 0.440, 0.705)
Pd (0.928, 0.928, 0.705)
Pd (0.560, 0.072, 0.295)
Pd (0.440, 0.928, 0.705)
Pd (0.072, 0.560, 0.295)
Pa (0.500, 0.500, 0.500)
Ta (0.000, 0.000, 0.000)

- Density of states at the Fermi level: 5.2 states/eV/f.u.
- VASP energy: -6.605 eV/atom
- Space group: No. 166
- Calculated volume: 170.3 Å³ per cell
- Energy of formation: -32.6 kJ/mol of formula units

=====

Entry 14:
First-principles (GGA-PBE) data for a relaxed Pa2TaPd crystal, as listed in Alexandria via LeMat-Bulk.

a b c (Å): 4.583 4.297 4.297
angles (deg): 90.00 90.00 90.00
Sites, in units of the cell vectors:
Ta (0.500, 0.000, 0.000)
Pd (0.500, 0.500, 0.500)
Pa (0.000, 0.500, 0.000)
Pa (0.000, 0.000, 0.500)

- Density of states at the Fermi level: 7.3 states/eV/f.u.
- VASP energy: -8.942 eV/atom
- Space group: No. 123
- Energy relative to the lowest polymorph listed for this composition: 0.051 eV per atom
- Calculated volume: 84.6 Å³ per cell
- Energy of formation: 26.1 kJ/mol of formula units

=====

Entry 15:
First-principles (GGA-PBE) data for a relaxed PaTaPd14 crystal, as listed in Alexandria via LeMat-Bulk.

a b c (Å): 5.736 5.736 7.815
angles (deg): 90.00 90.00 90.00
Sites, in units of the cell vectors:
Pd (0.629, 0.121, 0.253)
Pd (0.121, 0.629, 0.253)
Pd (0.375, 0.375, 0.000)
Pd (0.875, 0.875, 0.000)
Pd (0.875, 0.375, 0.000)
Pd (0.629, 0.629, 0.747)
Pd (0.629, 0.121, 0.747)
Pd (0.121, 0.121, 0.253)
Pd (0.121, 0.121, 0.747)
Pd (0.629, 0.629, 0.253)
Pd (0.121, 0.629, 0.747)
Pd (0.875, 0.375, 0.500)
Pd (0.375, 0.875, 0.000)
Pd (0.375, 0.875, 0.500)
Ta (0.875, 0.875, 0.500)
Pa (0.375, 0.375, 0.500)

- Density of states at the Fermi level: 15.8 states/eV/f.u.
- VASP energy: -6.272 eV/atom
- Space group: No. 123
- Calculated volume: 257.2 Å³ per cell
- Energy of formation: -607.7 kJ/mol of formula units

=====

Entry 16:
First-principles (GGA-PBE) data for a relaxed PaTaPd crystal, as listed in Alexandria via LeMat-Bulk.

a b c (Å): 3.073 7.466 5.297
angles (deg): 87.96 89.81 78.21
Sites, in units of the cell vectors:
Pa (0.082, 0.831, 0.837)
Pa (0.918, 0.169, 0.163)
Ta (0.239, 0.529, 0.262)
Ta (0.761, 0.471, 0.738)
Pd (0.584, 0.834, 0.361)
Pd (0.416, 0.166, 0.639)

- Density of states at the Fermi level: 3.2 states/eV/f.u.
- VASP energy: -9.007 eV/atom
- Space group: No. 2
- Energy relative to the lowest polymorph listed for this composition: 0.029 eV per atom
- Calculated volume: 118.9 Å³ per cell
- Energy of formation: -46.4 kJ/mol of formula units

=====

Entry 17:
First-principles (GGA-PBE) data for a relaxed PaTaPd crystal, as listed in Alexandria via LeMat-Bulk.

a b c (Å): 2.995 2.995 6.902
angles (deg): 102.53 102.53 90.00
Sites, in units of the cell vectors:
Pa (0.000, 0.000, 0.000)
Ta (0.680, 0.680, 0.360)
Pd (0.320, 0.320, 0.640)

- Density of states at the Fermi level: 3.3 states/eV/f.u.
- VASP energy: -9.037 eV/atom
- Space group: No. 107
- Energy relative to the lowest polymorph listed for this composition: 0.000 eV per atom
- Calculated volume: 58.9 Å³ per cell
- Energy of formation: -54.9 kJ/mol of formula units

=====

Entry 18:
First-principles (GGA-PBE) data for a relaxed Pa2TaPd crystal, as listed in Alexandria via LeMat-Bulk.

a b c (Å): 3.045 3.045 10.915
angles (deg): 81.98 81.98 60.00
Sites, in units of the cell vectors:
Pa (0.084, 0.084, 0.748)
Pa (0.916, 0.916, 0.252)
Pd (0.000, 0.000, 0.000)
Ta (0.500, 0.500, 0.500)

- Density of states at the Fermi level: 5.3 states/eV/f.u.
- VASP energy: -8.891 eV/atom
- Space group: No. 166
- Energy relative to the lowest polymorph listed for this composition: 0.102 eV per atom
- Calculated volume: 86.5 Å³ per cell
- Energy of formation: 45.7 kJ/mol of formula units

=====

Entry 19:
First-principles (GGA-PBE) data for a relaxed ZrPaTaPd crystal, as listed in Alexandria via LeMat-Bulk.

a b c (Å): 4.882 4.882 4.882
angles (deg): 60.00 60.00 60.00
Sites, in units of the cell vectors:
Pd (0.500, 0.500, 0.500)
Ta (0.000, 0.000, 0.000)
Pa (0.250, 0.250, 0.250)
Zr (0.750, 0.750, 0.750)

- Density of states at the Fermi level: 2.4 states/eV/f.u.
- VASP energy: -8.925 eV/atom
- Space group: No. 216
- Calculated volume: 82.3 Å³ per cell
- Energy of formation: -59.0 kJ/mol of formula units

=====

Entry 20:
First-principles (GGA-PBE) data for a relaxed TbPa2Pd crystal, as listed in Alexandria via LeMat-Bulk.

a b c (Å): 3.165 3.165 11.518
angles (deg): 82.10 82.10 60.00
Sites, in units of the cell vectors:
Pa (0.079, 0.079, 0.764)
Pa (0.921, 0.921, 0.236)
Pd (0.000, 0.000, 0.000)
Tb (0.500, 0.500, 0.500)

- Density of states at the Fermi level: 7.3 states/eV/f.u.
- VASP energy: -7.005 eV/atom
- Space group: No. 166
- Calculated volume: 98.6 Å³ per cell
- Energy of formation: 76.8 kJ/mol of formula units